## Sr2ZnSiP (PBE-GGA)

Data for a relaxed structure of Sr2ZnSiP.

- Raw formation energy: -0.1580 eV/atom
- Energy: -3.252 eV per atom

abc: 5.820 5.820 4.553
angles: 90.00 90.00 90.00
Sites, in units of the cell vectors:
Sr  0.000  0.500  0.000
Sr  0.500  0.000  0.000
Zn  0.000  0.000  0.500
Si  0.500  0.500  0.500
P  0.500  0.500  0.000